PBE-GGA AcP2Pd, relaxed; SG = I-4m2 (119); total magnetization = 0.00 μB/f.u.; energy above the most stable polymorph in this dataset = 0.0 kJ/mol of atoms; energy of formation from the pure elements = -3.88 eV per formula unit
1.0
-3.777 -1.830 0.818
0.637 -2.750 -3.212
3.710 -0.770 4.239
Ac P Pd
1 2 1
Direct
0.221 0.881 0.228 Ac
0.838 0.498 0.462 P
0.605 0.264 0.994 P
0.471 0.631 0.728 Pd

PBE-GGA TeBr2Cl8, relaxed; SG = P-1 (2); total magnetization = 0.00 μB/f.u.; energy relative to the elements, uncorrected = -223 meV per atom
1.0
-1.359 -4.195 -6.588
3.237 -5.754 4.266
-4.799 -3.994 4.799
Te Br Cl
1 2 8
Direct
0.000 0.000 0.000 Te
0.361 0.741 0.741 Br
0.639 0.259 0.259 Br
0.108 0.915 0.324 Cl
0.109 0.325 0.914 Cl
0.892 0.085 0.676 Cl
0.497 0.386 0.386 Cl
0.891 0.675 0.086 Cl
0.274 0.937 0.939 Cl
0.726 0.063 0.061 Cl
0.503 0.614 0.614 Cl

PBE-GGA Ag2TeS, relaxed; SG = P2_1 (4); total magnetization = 0.00 μB/f.u.; energy above the most stable polymorph in this dataset = 0.0 kJ/mol of atoms; energy relative to the elements, uncorrected = 0 meV per atom
1.0
4.562 0.000 -0.002
0.000 8.540 0.000
-2.269 0.000 5.204
S Te Ag
2 2 4
Direct
0.826 0.617 0.659 S
0.174 0.117 0.341 S
0.020 0.354 0.038 Te
0.980 0.854 0.962 Te
0.612 0.768 0.228 Ag
0.388 0.268 0.772 Ag
0.781 0.075 0.557 Ag
0.219 0.575 0.443 Ag